[1]
# AgSnH

A relaxed structure of AgSnH (PBE-GGA, Alexandria).

abc: 4.420 4.847 6.165
angles: 74.76 68.75 65.81
Sites, in units of the cell vectors:
Ag  0.351  0.482  0.268
Ag  0.175  0.241  0.781
Sn  0.825  0.807  0.004
Sn  0.618  0.662  0.566
H  0.233  0.373  0.037
H  0.511  0.108  0.470

***

[2]
# PmTcSn2

A relaxed structure of PmTcSn2 (PBE-GGA, Alexandria).

Output
ΔE_f	0.4868	eV/atom

abc: 3.203 3.203 11.217
angles: 81.79 81.79 60.00
Last column: magnetic moment on the atom in μB.
Sites, in units of the cell vectors:
Tc  0.000  0.000  0.000  1.44
Sn  0.081  0.081  0.756  0.00
Sn  0.919  0.919  0.244  0.00
Pm  0.500  0.500  0.500  -0.01

***

[3]
# Cd2AsW

A relaxed structure of Cd2AsW (PBE-GGA, Alexandria).

Output
ΔE_f	0.6029	eV/atom

abc: 5.709 5.709 5.709
angles: 145.15 135.64 57.61
Sites, in units of the cell vectors:
As  0.250  0.750  0.500
W  0.750  0.250  0.500
Cd  0.008  0.008  0.000
Cd  0.492  0.492  0.000

***

[4]
# Lu2CuH

A relaxed structure of Lu2CuH (PBE-GGA, Alexandria).

abc: 4.068 4.068 7.236
angles: 73.68 73.68 60.00
Sites, in units of the cell vectors:
H  0.000  0.000  0.000
Lu  0.098  0.098  0.705
Lu  0.902  0.902  0.295
Cu  0.500  0.500  0.500

***

[5]
# Y2AlTlB

A relaxed structure of Y2AlTlB (PBE-GGA, Alexandria).

Output
ΔE_f	-0.3062	eV/atom

abc: 5.163 5.163 4.146
angles: 90.00 90.00 90.00
Sites, in units of the cell vectors:
Y  0.000  0.500  0.000
Y  0.500  0.000  0.000
Tl  0.500  0.500  0.500
B  0.000  0.000  0.000
Al  0.000  0.000  0.500

***

[6]
# HoTl3Sn2Te6

A relaxed structure of HoTl3Sn2Te6 (PBE-GGA, Alexandria).

Output
formation energy without anion corrections	-48.3	kJ/mol of atoms

abc: 7.774 7.774 8.303
angles: 98.95 98.95 119.94
Sites, in units of the cell vectors:
Ho  0.000  0.000  0.000
Tl  0.167  0.833  0.500
Tl  0.833  0.167  0.500
Tl  0.500  0.500  0.500
Sn  0.334  0.666  0.000
Sn  0.666  0.334  0.000
Te  0.928  0.598  0.783
Te  0.743  0.743  0.217
Te  0.072  0.402  0.217
Te  0.598  0.928  0.783
Te  0.257  0.257  0.783
Te  0.402  0.072  0.217

***

[7]
# PuHg3

A relaxed structure of PuHg3 (PBE-GGA, Alexandria).

Output
ΔE_f	-0.0611	eV/atom

abc: 5.273 3.272 5.911
angles: 90.00 90.00 90.00
Last column: magnetic moment on the atom in μB.
Sites, in units of the cell vectors:
Hg  0.000  0.000  0.993  0.00
Hg  0.000  0.500  0.486  -0.02
Hg  0.500  0.500  0.178  -0.01
Pu  0.500  0.000  0.677  -5.66

***

[8]
# NdBiPb

A relaxed structure of NdBiPb (PBE-GGA, Alexandria).

Output
ΔE_f	-0.3162	eV/atom

abc: 3.688 5.477 5.477
angles: 120.00 90.00 90.00
Sites, in units of the cell vectors:
Pb  0.875  0.000  0.000
Nd  0.332  0.333  0.667
Bi  0.793  0.667  0.333

***

[9]
# Y4CdHg5

A relaxed structure of Y4CdHg5 (PBE-GGA, Alexandria).

Output
ΔE_f	-0.4231	eV/atom

abc: 3.725 3.725 18.193
angles: 90.00 90.00 90.00
Sites, in units of the cell vectors:
Y  0.000  0.000  0.192
Y  0.000  0.000  0.397
Y  0.000  0.000  0.603
Y  0.000  0.000  0.808
Cd  0.000  0.000  0.000
Hg  0.500  0.500  0.095
Hg  0.500  0.500  0.297
Hg  0.500  0.500  0.500
Hg  0.500  0.500  0.703
Hg  0.500  0.500  0.905

***

[10]
# KLi2Ir

A relaxed structure of KLi2Ir (PBE-GGA, Alexandria).

Output
ΔE_f	0.4014	eV/atom

abc: 2.849 2.849 10.693
angles: 90.00 90.00 114.54
Sites, in units of the cell vectors:
Ir  0.000  0.000  0.469
K  0.500  0.500  0.714
Li  0.000  0.000  0.034
Li  0.500  0.500  0.283

***

[11]
# Ba6NaAgO

A relaxed structure of Ba6NaAgO (PBE-GGA, Alexandria).

Output
formation energy without anion corrections	-44.9	kJ/mol of atoms

abc: 8.118 8.118 7.633
angles: 90.01 90.00 59.99
Sites, in units of the cell vectors:
Ba  0.039  0.350  0.277
Ba  0.350  0.039  0.723
Ba  0.611  0.350  0.723
Ba  0.039  0.611  0.723
Ba  0.350  0.611  0.277
Ba  0.611  0.039  0.277
Na  0.000  0.000  0.000
Ag  0.667  0.667  0.500
O  0.333  0.333  0.500

***

[12]
# HfGeSbO6

A relaxed structure of HfGeSbO6 (PBE-GGA, Alexandria).

Output
formation energy without anion corrections	-180.0	kJ/mol of atoms

abc: 5.321 5.321 9.024
angles: 90.00 90.00 120.00
Sites, in units of the cell vectors:
Hf  0.333  0.667  0.250
Hf  0.667  0.333  0.750
Ge  0.000  0.000  0.000
Ge  0.000  0.000  0.500
Sb  0.667  0.333  0.250
Sb  0.333  0.667  0.750
O  0.664  0.655  0.130
O  0.990  0.336  0.130
O  0.336  0.990  0.630
O  0.010  0.664  0.870
O  0.345  0.336  0.370
O  0.990  0.655  0.370
O  0.655  0.990  0.870
O  0.664  0.010  0.370
O  0.010  0.345  0.630
O  0.345  0.010  0.130
O  0.655  0.664  0.630
O  0.336  0.345  0.870

***

no.,final energy (eV/atom)
1,-3.13
2,-5.29
3,-4.26
4,-4.11
5,-5.45
6,-3.71
7,-3.87
8,-4.44
9,-3.25
10,-3.05
11,-2.76
12,-7.25